This record from Alexandria describes crystalline AlTlNiF2 at its relaxed geometry. The functional is GGA+U.

Symmetry = No. 123
Size of the total moment = 1.22 μB per formula unit
Crystal system = tetragonal
E = -2.75 eV/atom

Cell: 4.464 4.464 5.759 Å, 90.00 90.00 90.00°
Sites, in units of the cell vectors:
Al  0.000  0.000  0.000
Tl  0.000  0.000  0.500
Ni  0.500  0.500  0.000
F  0.000  0.500  0.500
F  0.500  0.000  0.500